! PBE CaCe2Sc, optimized geometry; values from VASP
&SYSTEM
  ibrav = 0, nat = 4, ntyp = 3
/
ATOMIC_SPECIES
Sc 44.96 Sc.upf
Ca 40.08 Ca.upf
Ce 140.12 Ce.upf
CELL_PARAMETERS angstrom
3.3873 0.0000 0.0000
0.0000 3.3873 0.0000
0.0000 0.0000 10.6490
ATOMIC_POSITIONS crystal
Sc 0.5000 0.5000 0.0000
Ca 0.5000 0.5000 0.5000
Ce 0.0000 0.0000 0.7751
Ce 0.0000 0.0000 0.2249
! Total magnetic moment: 2.3 μB per formula unit
! E above lowest polymorph: 0.0 meV per atom
! VASP energy: -19.4 eV per cell
! N(E_F): 12.23 states/eV/cell